Entry 1:
# Ce3Pr3TaN8

A relaxed structure of Ce3Pr3TaN8 (PBE, Alexandria via LeMat-Bulk).

The formation energy (no corrections) comes out at -1.30 eV per atom. The total moment is 0.0 μB/f.u. The value obtained for the density of states at the Fermi level is 8.152 states/eV/f.u.

Cell and atoms, written as CIF:
```
data_Ce3Pr3TaN8
_symmetry_space_group_name_H-M 'R -3 m'
_symmetry_Int_Tables_number 166
_symmetry_space_group_name_Hall '-R 3 2"'
_cell_length_a 7.0214
_cell_length_b 7.0214
_cell_length_c 17.5649
_cell_angle_alpha 90.00
_cell_angle_beta 90.00
_cell_angle_gamma 120.00
loop_
_atom_site_label
_atom_site_fract_x
_atom_site_fract_y
_atom_site_fract_z
Ce1 0.0000 0.5000 0.0000
Pr1 0.0000 0.5000 0.5000
Ta1 0.0000 0.0000 0.0000
N1 0.0000 0.0000 0.2558
N2 0.0362 0.5181 0.7341
```

---

Entry 2:
# TbCe2PrN4

A relaxed structure of TbCe2PrN4 (PBE, Alexandria via LeMat-Bulk).

The formation energy (no corrections) comes out at -1.49 eV per atom. The total moment is 0.4 μB/f.u. The value obtained for the density of states at the Fermi level is 4.632 states/eV/f.u.

Cell and atoms, written as CIF:
```
data_TbCe2PrN4
_symmetry_space_group_name_H-M 'P 1 2/m 1'
_symmetry_Int_Tables_number 10
_symmetry_space_group_name_Hall '-P 2y'
_cell_length_a 6.191
_cell_length_b 3.579
_cell_length_c 6.209
_cell_angle_alpha 90.00
_cell_angle_beta 109.47
_cell_angle_gamma 90.00
loop_
_atom_site_label
_atom_site_fract_x
_atom_site_fract_y
_atom_site_fract_z
Tb1 0.000 0.000 0.000
Ce1 0.500 0.000 0.500
Ce2 0.500 0.500 0.000
Pr1 0.000 0.500 0.500
N1 0.257 0.500 0.245
N2 0.264 0.000 0.762
```

---

Entry 3:
# TbCe3Pr4N8

A relaxed structure of TbCe3Pr4N8 (PBE, Alexandria via LeMat-Bulk).

The formation energy (no corrections) comes out at -1.44 eV per atom. The total moment is 0.0 μB/f.u. The value obtained for the density of states at the Fermi level is 7.864 states/eV/f.u.

Cell and atoms, written as CIF:
```
data_TbCe3Pr4N8
_symmetry_space_group_name_H-M 'R -3 m'
_symmetry_Int_Tables_number 166
_symmetry_space_group_name_Hall '-R 3 2"'
_cell_length_a 7.2176
_cell_length_b 7.2176
_cell_length_c 17.7428
_cell_angle_alpha 90.00
_cell_angle_beta 90.00
_cell_angle_gamma 120.00
loop_
_atom_site_label
_atom_site_fract_x
_atom_site_fract_y
_atom_site_fract_z
Tb1 0.0000 0.0000 0.0000
Ce1 0.0000 0.5000 0.0000
Pr1 0.0000 0.0000 0.5000
Pr2 0.0000 0.5000 0.5000
N1 0.0000 0.0000 0.2564
N2 0.0026 0.5013 0.2564
```